VASP calculation (GGA+U) on a relaxed structure of Sr2ScNiPO3.

Summary:
- space-group type = P4/nmm (129)
- E_tot (Ha/atom) = -0.2317

Cell: 4.090 4.090 15.130 Å, 90.00 90.00 90.00°
Element x y z (fractional)
Sr  0.500  0.000  0.590
O  0.000  0.000  0.277
Sc  0.500  0.000  0.299
O  0.500  0.500  0.723
P  0.500  0.000  0.061
Ni  0.500  0.500  0.000
Ni  0.000  0.000  0.000
Sr  0.000  0.500  0.173
P  0.000  0.500  0.939
O  0.500  0.500  0.277
O  0.500  0.000  0.430
Sr  0.000  0.500  0.410
O  0.000  0.500  0.570
Sr  0.500  0.000  0.827
O  0.000  0.000  0.723
Sc  0.000  0.500  0.701